# 1
VASP calculation (GGA-PBE) on Ho6Co2Tc after structural relaxation.

Its total energy is -5.911 eV per atom. The formation energy comes out at -0.13 eV per atom. The calculation puts the density of states at the Fermi level at 1.026 states/eV/atom.

It has space group Immm (No. 71), with a = 9.1896 Å, b = 9.3742 Å, c = 9.6070 Å, α = 90.00°, β = 90.00° and γ = 90.00°. The distinct sites, in fractional coordinates, are Ho at (0.0000, 0.1861, 0.2405), Ho at (0.1862, 0.5000, 0.3287), Ho at (0.2367, 0.3233, 0.0000), Co at (0.0000, 0.3332, 0.5000), Co at (0.0000, 0.5000, 0.1135), Tc at (0.0000, 0.0000, 0.0000) and Tc at (0.0000, 0.0000, 0.5000).


# 2
VASP calculation (GGA-PBE) on HoCoTc after structural relaxation.

Its total energy is -7.110 eV per atom. The energy above the most stable polymorph in this dataset comes out at 0.426 eV per atom. The formation energy comes out at 0.24 eV per atom. The calculation puts the density of states at the Fermi level at 0.937 states/eV/atom.

It has space group P4_12_12 (No. 92), with a = 6.6925 Å, b = 6.6925 Å, c = 5.5729 Å, α = 90.00°, β = 90.00° and γ = 90.00°. The distinct sites, in fractional coordinates, are Ho at (0.2306, 0.2306, 0.0000), Co at (0.1757, 0.8243, 0.7500) and Tc at (0.0840, 0.0840, 0.5000).


# 3
VASP calculation (GGA-PBE) on Ho2CoTc after structural relaxation.

Its total energy is -5.994 eV per atom. The formation energy comes out at 0.66 eV per atom. The calculation puts the density of states at the Fermi level at 0.921 states/eV/atom.

It has space group R-3m (No. 166, hexagonal axes), with a = 3.1740 Å, b = 3.1740 Å, c = 28.0441 Å, α = 90.00°, β = 90.00° and γ = 120.00°. The distinct sites, in fractional coordinates, are Ho at (0.0000, 0.0000, 0.0958), Co at (0.0000, 0.0000, 0.5000) and Tc at (0.0000, 0.0000, 0.0000).


# 4
VASP calculation (GGA-PBE) on Ho2CoTc3 after structural relaxation.

Its total energy is -8.080 eV per atom. The formation energy comes out at -0.19 eV per atom. The calculation puts the density of states at the Fermi level at 1.092 states/eV/atom.

It has space group R-3m (No. 166, hexagonal axes), with a = 5.2160 Å, b = 5.2160 Å, c = 13.5441 Å, α = 90.00°, β = 90.00° and γ = 120.00°. The distinct sites, in fractional coordinates, are Ho at (0.0000, 0.0000, 0.1248), Co at (0.0000, 0.0000, 0.5000) and Tc at (0.0000, 0.5000, 0.0000).